The following is a SCAN calculation of a PBEsol-optimized structure of Rb2NaBe, from Alexandria via LeMat-Bulk.

a = 12.5223 Å, b = 12.5223 Å, c = 5.7000 Å
α = 90.00°, β = 90.00°, γ = 90.00°
Space group I-42d (No. 122)
Unique sites:
Rb (0.0974, 0.7500, 0.1250) (multiplicity 8)
Na (0.0000, 0.0000, 0.5000) (multiplicity 4)
Be (0.0000, 0.0000, 0.0000) (multiplicity 4)

Calculated values
The size of the total moment is 0.00 Bohr magnetons per cell. The formation energy comes out at 638 meV/atom.